SrGeN2F | GGA-PBEsol | relaxed

Computed properties:
**Energy relative to the elements, uncorrected**: -4.6 eV per formula unit
**Size of the total moment**: 0.003 μB/f.u.
**Energy**: -0.22293 hartree per atom

Cell and atoms, written as CIF:
```
data_SrGeN2F
_symmetry_space_group_name_H-M 'P 1'
_symmetry_Int_Tables_number 1
_cell_length_a 3.771
_cell_length_b 3.771
_cell_length_c 4.291
_cell_angle_alpha 90.00
_cell_angle_beta 90.00
_cell_angle_gamma 90.00
loop_
_symmetry_equiv_pos_as_xyz
'x,y,z'
loop_
_atom_site_label
_atom_site_type_symbol
_atom_site_fract_x
_atom_site_fract_y
_atom_site_fract_z
N1 N 0.500 0.000 0.000
Ge1 Ge 0.000 0.000 0.000
N2 N 0.000 0.500 0.000
F1 F 0.000 0.000 0.500
Sr1 Sr 0.500 0.500 0.500
```

GeTeN2F | GGA-PBEsol | relaxed

Computed properties:
**Energy relative to the elements, uncorrected**: 8.7 eV per formula unit
**ΔE to the lowest computed polymorph**: 1139 meV/atom
**Size of the total moment**: 4.276 μB/f.u.
**Energy**: -0.13767 hartree per atom

Cell and atoms, written as CIF:
```
data_GeTeN2F
_symmetry_space_group_name_H-M 'P 1'
_symmetry_Int_Tables_number 1
_cell_length_a 4.142
_cell_length_b 4.482
_cell_length_c 4.482
_cell_angle_alpha 90.00
_cell_angle_beta 90.00
_cell_angle_gamma 90.00
loop_
_symmetry_equiv_pos_as_xyz
'x,y,z'
loop_
_atom_site_label
_atom_site_type_symbol
_atom_site_fract_x
_atom_site_fract_y
_atom_site_fract_z
N1 N 0.000 0.000 0.500
F1 F 0.000 0.000 0.000
N2 N 0.000 0.500 0.000
Ge1 Ge 0.500 0.500 0.500
Te1 Te 0.500 0.000 0.000
```

GeTeN2F | GGA-PBEsol | relaxed

Computed properties:
**Energy relative to the elements, uncorrected**: 3.0 eV per formula unit
**ΔE to the lowest computed polymorph**: 0 meV/atom
**Size of the total moment**: 0.000 μB/f.u.
**Energy**: -0.17953 hartree per atom

Cell and atoms, written as CIF:
```
data_GeTeN2F
_symmetry_space_group_name_H-M 'P 1'
_symmetry_Int_Tables_number 1
_cell_length_a 4.124
_cell_length_b 4.124
_cell_length_c 4.171
_cell_angle_alpha 90.00
_cell_angle_beta 90.00
_cell_angle_gamma 90.00
loop_
_symmetry_equiv_pos_as_xyz
'x,y,z'
loop_
_atom_site_label
_atom_site_type_symbol
_atom_site_fract_x
_atom_site_fract_y
_atom_site_fract_z
N1 N 0.000 0.500 0.000
N2 N 0.500 0.000 0.000
Te1 Te 0.000 0.000 0.000
Ge1 Ge 0.500 0.500 0.500
F1 F 0.000 0.000 0.500
```

TlGeN2F | GGA-PBEsol | relaxed

Computed properties:
**Energy relative to the elements, uncorrected**: 5.4 eV per formula unit
**Size of the total moment**: 1.303 μB/f.u.
**Energy**: -0.15529 hartree per atom

Cell and atoms, written as CIF:
```
data_TlGeN2F
_symmetry_space_group_name_H-M 'P 1'
_symmetry_Int_Tables_number 1
_cell_length_a 4.218
_cell_length_b 4.218
_cell_length_c 4.410
_cell_angle_alpha 90.00
_cell_angle_beta 90.00
_cell_angle_gamma 90.00
loop_
_symmetry_equiv_pos_as_xyz
'x,y,z'
loop_
_atom_site_label
_atom_site_type_symbol
_atom_site_fract_x
_atom_site_fract_y
_atom_site_fract_z
Ge1 Ge 0.500 0.500 0.500
N1 N 0.500 0.000 0.000
N2 N 0.000 0.500 0.000
Tl1 Tl 0.000 0.000 0.000
F1 F 0.000 0.000 0.500
```

Look up the energy relative to the elements, uncorrected of the second one. 8.7 eV per formula unit

Among the records above, which one has the lowest energy relative to the elements, uncorrected? SrGeN2F

Which value of size of the total moment does entry 2 give? 4.276 μB/f.u.

Which value of energy relative to the elements, uncorrected does entry 1 give? -4.6 eV per formula unit